A plane-wave DFT calculation with GGA-PBEsol was carried out for a relaxed SbTe2MoC crystal.

Structure (extended XYZ):
```
5
Lattice="-4.8549 1.7359 0.1151 -1.7198 -4.7373 -1.0939 -0.2645 -1.0765 5.0782" Properties=species:S:1:pos:R:3 pbc="T T T"
Mo 0.0000 0.0000 0.0000
Te -0.8599 -2.3687 -0.5469
C -3.4196 -2.0390 2.0497
Te -2.4274 0.8680 0.0575
Sb -0.1323 -0.5383 2.5391
```

Properties
Size of the total moment, Bohr magnetons per cell: 1.931
Formation energy from raw total energies, eV/atom: 1.78
Final energy, eV for the cell shown: -24.1